Record 1
Entry from Alexandria via LeMat-Bulk: CdGa6F12 after structural relaxation (PBE).

Formation energy from raw total energies = -196.5 kJ/mol of atoms
Final energy = -4.22 eV/atom

Cell lengths 12.8552, 12.8552, 5.6763 Å; angles 90.00, 90.00, 120.00 degrees
Space group R-3 (No. 148, hexagonal axes)
One atom of each set of equivalent atoms:
Cd: 0.0000 0.0000 0.0000
Ga: 0.0708 0.8689 0.7480
F: 0.0348 0.4401 0.6038
F: 0.0652 0.2268 0.4625

Record 2
Entry from Alexandria via LeMat-Bulk: Cd2GaF8 after structural relaxation (PBE).

Formation energy from raw total energies = -198.4 kJ/mol of atoms
Final energy = -3.86 eV/atom

Cell lengths 4.4043, 5.6339, 7.0710 Å; angles 83.44, 72.73, 78.93 degrees
Space group P-1 (No. 2)
One atom of each set of equivalent atoms:
Cd: 0.1445 0.0201 0.2175
Ga: 0.0000 0.5000 0.5000
F: 0.1027 0.5928 0.7247
F: 0.2172 0.1660 0.5042
F: 0.3095 0.9670 0.8899
F: 0.3431 0.6322 0.3079

Record 3
Entry from Alexandria via LeMat-Bulk: Cd6GaF12 after structural relaxation (PBE).

Formation energy from raw total energies = -194.4 kJ/mol of atoms
Final energy = -3.64 eV/atom

Cell lengths 10.2820, 10.2820, 9.6754 Å; angles 90.00, 90.00, 120.00 degrees
Space group R-3 (No. 148, hexagonal axes)
One atom of each set of equivalent atoms:
Cd: 0.0454 0.7880 0.1496
Ga: 0.0000 0.0000 0.5000
F: 0.0318 0.8085 0.8985
F: 0.0377 0.8612 0.3900

Record 4
Entry from Alexandria via LeMat-Bulk: CdGaF after structural relaxation (PBE).

Energy above the lowest structure with this stoichiometry = 117 meV per atom
Formation energy from raw total energies = -79.6 kJ/mol of atoms
Final energy = -2.76 eV/atom

Cell lengths 3.1416, 4.9846, 15.1167 Å; angles 90.00, 90.00, 90.00 degrees
Space group Immm (No. 71)
One atom of each set of equivalent atoms:
Cd: 0.0000 0.0000 0.1653
Ga: 0.0000 0.2524 0.0000
F: 0.0000 0.0000 0.3081

Record 5
Entry from Alexandria via LeMat-Bulk: CdGaF6 after structural relaxation (PBE).

Formation energy from raw total energies = -194.4 kJ/mol of atoms
Final energy = -3.91 eV/atom

Cell lengths 5.4311, 7.6141, 5.2625 Å; angles 90.00, 102.36, 90.00 degrees
Space group C2/m (No. 12)
One atom of each set of equivalent atoms:
Cd: 0.0000 0.0000 0.0000
Ga: 0.0000 0.5000 0.5000
F: 0.1937 0.3356 0.7406
F: 0.2403 0.0000 0.6982

Record 6
Entry from Alexandria via LeMat-Bulk: CdGa2F8 after structural relaxation (PBE).

Formation energy from raw total energies = -231.5 kJ/mol of atoms
Final energy = -4.39 eV/atom

Cell lengths 8.1530, 6.4508, 5.4470 Å; angles 90.00, 100.99, 90.00 degrees
Space group C2/m (No. 12)
One atom of each set of equivalent atoms:
Cd: 0.0000 0.0000 0.0000
Ga: 0.1841 0.5000 0.4533
F: 0.0635 0.5000 0.7190
F: 0.1388 0.1893 0.3439
F: 0.2176 0.0000 0.8250

Record 7
Entry from Alexandria via LeMat-Bulk: CdGaF after structural relaxation (PBE).

Energy above the lowest structure with this stoichiometry = 0 meV per atom
Formation energy from raw total energies = -90.9 kJ/mol of atoms
Final energy = -2.88 eV/atom

Cell lengths 3.0075, 3.0075, 7.1201 Å; angles 90.00, 90.00, 120.00 degrees
Space group P3m1 (No. 156)
One atom of each set of equivalent atoms:
Cd: 0.0000 0.0000 0.0000
Ga: 0.6667 0.3333 0.4392
F: 0.3333 0.6667 0.6482

Record 8
Entry from Alexandria via LeMat-Bulk: CdGa2F6 after structural relaxation (PBE).

Formation energy from raw total energies = -214.5 kJ/mol of atoms
Final energy = -4.24 eV/atom

Cell lengths 5.9797, 5.9797, 15.2793 Å; angles 90.00, 90.00, 120.00 degrees
Space group R3 (No. 146, hexagonal axes)
One atom of each set of equivalent atoms:
Cd: 0.0000 0.0000 0.0000
Ga: 0.0000 0.0000 0.1993
Ga: 0.0000 0.0000 0.5246
F: 0.0551 0.4517 0.7843
F: 0.1037 0.7340 0.9324

Record 9
Entry from Alexandria via LeMat-Bulk: Cd2Ga2F7 after structural relaxation (PBE).

Formation energy from raw total energies = -195.0 kJ/mol of atoms
Final energy = -3.93 eV/atom

Cell lengths 6.4071, 8.9995, 5.8288 Å; angles 90.00, 96.14, 90.00 degrees
Space group C2/m (No. 12)
One atom of each set of equivalent atoms:
Cd: 0.0000 0.1865 0.0000
Ga: 0.1907 0.5000 0.4710
F: 0.0000 0.0000 0.5000
F: 0.2228 0.3310 0.2567
F: 0.2247 0.0000 0.1704

Record 10
Entry from Alexandria via LeMat-Bulk: CdGaH2F8 after structural relaxation (PBE).

Final energy = -3.96 eV/atom

Cell lengths 4.8500, 7.6608, 7.4368 Å; angles 90.00, 90.00, 90.00 degrees
Space group Cmmm (No. 65)
One atom of each set of equivalent atoms:
Cd: 0.0000 0.0000 0.0000
Ga: 0.0000 0.0000 0.5000
H: 0.0000 0.5000 0.2947
F: 0.0000 0.2373 0.5000
F: 0.0000 0.2775 0.0000
F: 0.2372 0.5000 0.2910

Record 11
Entry from Alexandria via LeMat-Bulk: CdGaH14O7F5 after structural relaxation (PBE).

Final energy = -4.81 eV/atom

Cell lengths 5.9702, 9.4552, 10.1423 Å; angles 107.92, 101.96, 95.47 degrees
Space group P-1 (No. 2)
One atom of each set of equivalent atoms:
Cd: 0.0802 0.3229 0.2508
Ga: 0.4523 0.1755 0.7543
H: 0.1108 0.8343 0.2667
H: 0.1124 0.8492 0.5825
H: 0.1254 0.2604 0.5158
H: 0.1480 0.9981 0.8718
H: 0.1724 0.3130 0.9766
H: 0.1776 0.6218 0.4718
H: 0.2381 0.4880 0.0725
H: 0.2449 0.9207 0.9864
H: 0.2871 0.9085 0.4236
H: 0.2988 0.4838 0.7525
H: 0.3288 0.6101 0.9054
H: 0.4006 0.5976 0.4120
H: 0.4228 0.1264 0.2285
H: 0.4649 0.7060 0.7496
O: 0.0179 0.7483 0.5592
O: 0.1282 0.9053 0.8958
O: 0.1464 0.3899 0.0607
O: 0.2649 0.5434 0.4271
O: 0.2645 0.8320 0.3265
O: 0.2802 0.5892 0.8001
O: 0.4243 0.2341 0.2820
F: 0.1674 0.1679 0.8217
F: 0.2895 0.0059 0.5881
F: 0.3533 0.3124 0.6534
F: 0.4014 0.6500 0.0838
F: 0.4310 0.9499 0.1414

Record 12
Entry from Alexandria via LeMat-Bulk: CdGaHgF6 after structural relaxation (PBE).

Formation energy from raw total energies = -195.8 kJ/mol of atoms
Final energy = -3.75 eV/atom

Cell lengths 5.8137, 5.8137, 9.2046 Å; angles 90.00, 90.00, 120.00 degrees
Space group P-31c (No. 163)
One atom of each set of equivalent atoms:
Cd: 0.0000 0.0000 0.0000
Ga: 0.3333 0.6667 0.2500
Hg: 0.3333 0.6667 0.7500
F: 0.0812 0.3772 0.1269

Record 13
Entry from Alexandria via LeMat-Bulk: CdIn2GaF6 after structural relaxation (PBE).

Formation energy from raw total energies = -187.2 kJ/mol of atoms
Final energy = -4.00 eV/atom

Cell lengths 6.2464, 6.2712, 8.8461 Å; angles 90.00, 90.00, 90.00 degrees
Space group Immm (No. 71)
One atom of each set of equivalent atoms:
Cd: 0.0000 0.0000 0.0000
In: 0.0000 0.5000 0.2492
Ga: 0.0000 0.0000 0.5000
F: 0.0000 0.0000 0.2809
F: 0.2196 0.2184 0.5000

Record 14
Entry from Alexandria via LeMat-Bulk: K2CdGaF6 after structural relaxation (PBE).

Formation energy from raw total energies = -236.6 kJ/mol of atoms
Final energy = -4.19 eV/atom

Cell lengths 6.1864, 8.7822, 6.2164 Å; angles 90.00, 90.00, 90.00 degrees
Space group Pmmn (No. 59, origin choice 2)
One atom of each set of equivalent atoms:
K: 0.2500 0.0013 0.2445
Cd: 0.2500 0.2500 0.7436
Ga: 0.2500 0.7500 0.7558
F: 0.0262 0.7500 0.5354
F: 0.0274 0.7500 0.9787
F: 0.2500 0.5278 0.7581

Record 15
Entry from Alexandria via LeMat-Bulk: LiCdGaF6 after structural relaxation (PBE).

Formation energy from raw total energies = -250.1 kJ/mol of atoms
Final energy = -4.49 eV/atom

Cell lengths 5.1745, 5.1745, 9.6440 Å; angles 90.00, 90.00, 120.00 degrees
Space group P-31c (No. 163)
One atom of each set of equivalent atoms:
Li: 0.3333 0.6667 0.2500
Cd: 0.0000 0.0000 0.0000
Ga: 0.3333 0.6667 0.7500
F: 0.0174 0.3655 0.6388

Record 16
Entry from Alexandria via LeMat-Bulk: Li2CdGaF8 after structural relaxation (PBE).

Formation energy from raw total energies = -223.3 kJ/mol of atoms
Final energy = -4.21 eV/atom

Cell lengths 6.4642, 6.4642, 7.0926 Å; angles 90.00, 90.00, 90.00 degrees
Space group I-4m2 (No. 119)
One atom of each set of equivalent atoms:
Li: 0.0000 0.0000 0.0000
Li: 0.0000 0.5000 0.2500
Cd: 0.0000 0.0000 0.5000
Ga: 0.0000 0.5000 0.7500
F: 0.0000 0.2139 0.8082
F: 0.0000 0.3225 0.4577

Record 17
Entry from Alexandria via LeMat-Bulk: CdGa2NF after structural relaxation (PBE).

Formation energy from raw total energies = 5.0 kJ/mol of atoms
Final energy = -3.38 eV/atom

Cell lengths 3.9788, 3.9788, 5.6329 Å; angles 90.00, 90.00, 90.00 degrees
Space group P4/mmm (No. 123)
One atom of each set of equivalent atoms:
Cd: 0.0000 0.0000 0.0000
Ga: 0.0000 0.5000 0.5000
N: 0.5000 0.5000 0.5000
F: 0.5000 0.5000 0.0000

Record 18
Entry from Alexandria via LeMat-Bulk: NaCdGaF6 after structural relaxation (PBE).

Formation energy from raw total energies = -245.4 kJ/mol of atoms
Final energy = -4.38 eV/atom

Cell lengths 5.5040, 5.5040, 9.3318 Å; angles 90.00, 90.00, 120.00 degrees
Space group P-31c (No. 163)
One atom of each set of equivalent atoms:
Na: 0.3333 0.6667 0.2500
Cd: 0.0000 0.0000 0.0000
Ga: 0.3333 0.6667 0.7500
F: 0.0490 0.3714 0.6337

Record 19
Entry from Alexandria via LeMat-Bulk: NaCdGa2F after structural relaxation (PBE).

Formation energy from raw total energies = 23.2 kJ/mol of atoms
Final energy = -1.79 eV/atom

Cell lengths 5.4914, 5.4914, 5.5211 Å; angles 90.00, 90.00, 90.00 degrees
Space group P4/mmm (No. 123)
One atom of each set of equivalent atoms:
Na: 0.0000 0.0000 0.0000
Cd: 0.0000 0.0000 0.5000
Ga: 0.0000 0.5000 0.0000
F: 0.5000 0.5000 0.5000